Record 1
VASP calculation (PBE) on an optimized crystal structure of NaTb2OsO6.

Values from the calculation:
* energy: -7.53 eV per atom

a = 5.4028 Å, b = 5.8380 Å, c = 9.4089 Å
α = 90.00°, β = 123.58°, γ = 90.00°
Each line ends with the local moment (μB).
Fractional coordinates of all 20 atoms:
O (0.4084, 0.5638, 0.2686)  0.10
Tb (0.7807, 0.4244, 0.2552)  0.05
O (0.7390, 0.7129, 0.0791)  0.11
O (0.1416, 0.6726, 0.4423)  0.13
Tb (0.7807, 0.0756, 0.7552)  0.05
O (0.1416, 0.8274, 0.9423)  0.13
Na (0.0000, 0.5000, 0.0000)  0.00
O (0.4084, 0.9362, 0.7686)  0.10
O (0.8584, 0.3274, 0.5577)  0.13
Na (0.0000, 0.0000, 0.5000)  0.00
O (0.8584, 0.1726, 0.0577)  0.13
O (0.5916, 0.0638, 0.2314)  0.10
Tb (0.2193, 0.9244, 0.2448)  0.05
Os (0.5000, 0.5000, 0.5000)  1.99
O (0.2610, 0.2871, 0.9209)  0.11
O (0.5916, 0.4362, 0.7314)  0.10
Os (0.5000, 0.0000, 0.0000)  1.99
O (0.2610, 0.2129, 0.4209)  0.11
Tb (0.2193, 0.5756, 0.7448)  0.05
O (0.7390, 0.7871, 0.5791)  0.11



Record 2
VASP calculation (PBE) on an optimized crystal structure of SnIrAuS3.

Values from the calculation:
* energy: -5.05 eV per atom

a = 7.8260 Å, b = 7.8260 Å, c = 9.0991 Å
α = 90.00°, β = 90.00°, γ = 153.08°
Fractional coordinates of all 12 atoms:
Au (0.3064, 0.6936, 0.2500)
Ir (0.0000, 0.0000, 0.5000)
S (0.9552, 0.0448, 0.7500)
S (0.6016, 0.3984, 0.9750)
Sn (0.3302, 0.6698, 0.7500)
S (0.3984, 0.6016, 0.0250)
S (0.6016, 0.3984, 0.5250)
S (0.3984, 0.6016, 0.4750)
Ir (0.0000, 0.0000, 0.0000)
Sn (0.6698, 0.3302, 0.2500)
Au (0.6936, 0.3064, 0.7500)
S (0.0448, 0.9552, 0.2500)



Record 3
VASP calculation (PBE) on an optimized crystal structure of ScBeCuBi.

Values from the calculation:
* excess energy over the best structure of this formula in the dataset: 88.6 meV/atom

a = 4.7040 Å, b = 4.7040 Å, c = 4.7040 Å
α = 60.00°, β = 60.00°, γ = 60.00°
Fractional coordinates of all 4 atoms:
Bi (0.0000, 0.0000, 0.0000)
Sc (0.2500, 0.2500, 0.2500)
Cu (0.7500, 0.7500, 0.7500)
Be (0.5000, 0.5000, 0.5000)



Record 4
VASP calculation (PBE) on an optimized crystal structure of Tm4FeI.

Values from the calculation:
* energy: -4.66 eV per atom

a = 8.0449 Å, b = 8.0449 Å, c = 8.0449 Å
α = 36.40°, β = 36.40°, γ = 36.40°
Fractional coordinates of all 6 atoms:
Tm (0.1091, 0.1091, 0.1091)
Tm (0.8909, 0.8909, 0.8909)
Fe (0.0000, 0.0000, 0.0000)
Tm (0.6502, 0.6502, 0.6502)
I (0.5000, 0.5000, 0.5000)
Tm (0.3498, 0.3498, 0.3498)



Record 5
VASP calculation (PBE) on an optimized crystal structure of Li4SnSbIr2.

Values from the calculation:
* energy: -4.61 eV per atom

a = 4.4229 Å, b = 4.4229 Å, c = 6.2392 Å
α = 90.00°, β = 90.00°, γ = 90.00°
Fractional coordinates of all 8 atoms:
Ir (0.0000, 0.5000, 0.2562)
Li (0.0000, 0.0000, 0.0000)
Sn (0.5000, 0.5000, 0.0000)
Li (0.5000, 0.5000, 0.5000)
Li (0.5000, 0.0000, 0.2492)
Sb (0.0000, 0.0000, 0.5000)
Ir (0.5000, 0.0000, 0.7438)
Li (0.0000, 0.5000, 0.7508)



Record 6
VASP calculation (PBE) on an optimized crystal structure of DyTcW.

Values from the calculation:
* energy: -7.46 eV per atom

a = 4.4790 Å, b = 4.4790 Å, c = 4.4790 Å
α = 60.00°, β = 60.00°, γ = 60.00°
Each line ends with the local moment (μB).
Fractional coordinates of all 3 atoms:
W (0.7500, 0.7500, 0.7500)  0.20
Dy (0.0000, 0.0000, 0.0000)  0.03
Tc (0.2500, 0.2500, 0.2500)  -0.09



Record 7
VASP calculation (PBE) on an optimized crystal structure of CsRbHfS3.

Values from the calculation:
* excess energy over the best structure of this formula in the dataset: 73.9 meV/atom

a = 16.3132 Å, b = 3.9167 Å, c = 11.9704 Å
α = 90.00°, β = 90.00°, γ = 90.00°
Fractional coordinates of all 24 atoms:
Cs (0.8008, 0.2500, 0.2873)
S (0.4402, 0.7500, 0.0812)
S (0.3537, 0.2500, 0.8396)
S (0.0598, 0.2500, 0.5812)
S (0.5154, 0.7500, 0.6768)
Hf (0.0423, 0.2500, 0.3636)
S (0.4846, 0.2500, 0.3232)
S (0.1463, 0.7500, 0.3396)
S (0.9402, 0.7500, 0.4188)
Rb (0.6062, 0.7500, 0.4385)
Rb (0.3938, 0.2500, 0.5615)
Hf (0.5423, 0.2500, 0.1364)
Cs (0.6992, 0.7500, 0.7873)
S (0.8537, 0.2500, 0.6604)
Cs (0.3008, 0.2500, 0.2127)
S (0.0154, 0.7500, 0.8232)
Hf (0.9577, 0.7500, 0.6364)
S (0.9846, 0.2500, 0.1768)
Cs (0.1992, 0.7500, 0.7127)
S (0.5598, 0.2500, 0.9188)
Hf (0.4577, 0.7500, 0.8636)
S (0.6463, 0.7500, 0.1604)
Rb (0.1062, 0.7500, 0.0615)
Rb (0.8938, 0.2500, 0.9385)



Record 8
VASP calculation (PBE) on an optimized crystal structure of GdGeTe2AuSe.

Values from the calculation:
* energy: -4.31 eV per atom

a = 7.5713 Å, b = 7.5713 Å, c = 10.4423 Å
α = 90.00°, β = 90.00°, γ = 148.08°
Fractional coordinates of all 12 atoms:
Au (0.9795, 0.0205, 0.2500)
Te (0.8425, 0.1575, 0.4366)
Gd (0.5000, 0.5000, 0.0000)
Se (0.4047, 0.5953, 0.7500)
Ge (0.7386, 0.2614, 0.7500)
Se (0.5953, 0.4047, 0.2500)
Te (0.1575, 0.8425, 0.5634)
Te (0.1575, 0.8425, 0.9366)
Te (0.8425, 0.1575, 0.0634)
Ge (0.2614, 0.7386, 0.2500)
Gd (0.5000, 0.5000, 0.5000)
Au (0.0205, 0.9795, 0.7500)



Record 9
VASP calculation (PBE) on an optimized crystal structure of NaReOs.

Values from the calculation:
* excess energy over the best structure of this formula in the dataset: 0.0 meV/atom

a = 4.2313 Å, b = 4.2313 Å, c = 4.2313 Å
α = 60.00°, β = 60.00°, γ = 60.00°
Fractional coordinates of all 3 atoms:
Re (0.7500, 0.7500, 0.7500)
Na (0.2500, 0.2500, 0.2500)
Os (0.0000, 0.0000, 0.0000)



Record 10
VASP calculation (PBE) on an optimized crystal structure of Hf4AlSbN2.

Values from the calculation:
* energy: -9.05 eV per atom

a = 3.2576 Å, b = 3.2576 Å, c = 14.1065 Å
α = 90.00°, β = 90.00°, γ = 120.00°
Fractional coordinates of all 8 atoms:
N (0.0000, 0.0000, 0.7523)
Hf (0.6667, 0.3333, 0.1602)
Hf (0.3333, 0.6667, 0.3372)
Hf (0.6667, 0.3333, 0.8398)
Sb (0.6667, 0.3333, 0.5000)
N (0.0000, 0.0000, 0.2477)
Hf (0.3333, 0.6667, 0.6628)
Al (0.3333, 0.6667, 0.0000)



Record 11
VASP calculation (PBE) on an optimized crystal structure of LaUW2C3.

Values from the calculation:
* energy: -10.11 eV per atom

a = 6.3431 Å, b = 6.3431 Å, c = 5.7611 Å
α = 113.63°, β = 113.63°, γ = 30.33°
Each line ends with the local moment (μB).
Fractional coordinates of all 7 atoms:
La (0.4020, 0.4020, 0.2063)  0.00
W (0.8389, 0.8389, 0.6709)  -0.02
C (0.0056, 0.0056, 0.9815)  -0.01
C (0.7415, 0.7415, 0.2563)  -0.01
U (0.6102, 0.6102, 0.8164)  1.13
W (0.1555, 0.1555, 0.3262)  -0.02
C (0.2463, 0.2463, 0.7424)  -0.01



The records above give, respectively, calculated density values of 8.42, 7.95, 7.37, 8.68, 8.88, 11.61, 4.28, 7.99, 12.38, 11.41, 12.17 g/cm3.